An optimized crystal structure of CsBaCrS2, computed with PBE.

The structure in CIF format:
```
data_CsBaCrS2
_symmetry_space_group_name_H-M 'P 4/m m m'
_symmetry_Int_Tables_number 123
_symmetry_space_group_name_Hall '-P 4 2'
_cell_length_a 6.0375
_cell_length_b 6.0375
_cell_length_c 5.2376
_cell_angle_alpha 90.00
_cell_angle_beta 90.00
_cell_angle_gamma 90.00
loop_
_atom_site_label
_atom_site_fract_x
_atom_site_fract_y
_atom_site_fract_z
Cs1 0.0000 0.0000 0.0000
Ba1 0.5000 0.5000 0.5000
Cr1 0.0000 0.0000 0.5000
S1 0.0000 0.5000 0.0000
```

Results
**Magnetic moment**: 5.84 μB per cell
**Final energy**: -3.74 eV/atom
**Formation energy from raw total energies**: 0.388 eV per atom
**DOS at the Fermi energy**: 0.45 states/eV per atom


An optimized crystal structure of KSbTe2H, computed with PBE.

The structure in CIF format:
```
data_KSbTe2H
_symmetry_space_group_name_H-M 'P 4/m m m'
_symmetry_Int_Tables_number 123
_symmetry_space_group_name_Hall '-P 4 2'
_cell_length_a 6.1546
_cell_length_b 6.1546
_cell_length_c 6.1172
_cell_angle_alpha 90.00
_cell_angle_beta 90.00
_cell_angle_gamma 90.00
loop_
_atom_site_label
_atom_site_fract_x
_atom_site_fract_y
_atom_site_fract_z
K1 0.0000 0.0000 0.0000
Sb1 0.0000 0.0000 0.5000
Te1 0.0000 0.5000 0.0000
H1 0.5000 0.5000 0.5000
```

Results
**Magnetic moment**: 1.26 μB per cell
**Polymorph energy (0 for the lowest one)**: 1239 meV/atom
**Final energy**: -1.67 eV/atom
**DOS at the Fermi energy**: 1.51 states/eV per atom


An optimized crystal structure of Tb2YTm2, computed with PBE.

The structure in CIF format:
```
data_Tb2YTm2
_symmetry_space_group_name_H-M 'P 4/m b m'
_symmetry_Int_Tables_number 127
_symmetry_space_group_name_Hall '-P 4 2ab'
_cell_length_a 9.2217
_cell_length_b 9.2217
_cell_length_c 3.7068
_cell_angle_alpha 90.00
_cell_angle_beta 90.00
_cell_angle_gamma 90.00
loop_
_atom_site_label
_atom_site_fract_x
_atom_site_fract_y
_atom_site_fract_z
Tb1 0.1284 0.3716 0.0000
Y1 0.0000 0.0000 0.0000
Tm1 0.1696 0.6696 0.5000
```

Results
**Magnetic moment**: 0.00 μB per cell
**Polymorph energy (0 for the lowest one)**: 0 meV/atom
**Final energy**: -4.86 eV/atom
**DOS at the Fermi energy**: 0.74 states/eV per atom


An optimized crystal structure of KRbSbCl6, computed with PBE.

The structure in CIF format:
```
data_KRbSbCl6
_symmetry_space_group_name_H-M 'P 3 1 2'
_symmetry_Int_Tables_number 149
_cell_length_a 7.6113
_cell_length_b 7.6113
_cell_length_c 6.8164
_cell_angle_alpha 90.00
_cell_angle_beta 90.00
_cell_angle_gamma 120.00
loop_
_symmetry_equiv_pos_as_xyz
'x,y,z'
'-y,x-y,z'
'-x+y,-x,z'
'-y,-x,-z'
'-x+y,y,-z'
'x,x-y,-z'
loop_
_atom_site_label
_atom_site_fract_x
_atom_site_fract_y
_atom_site_fract_z
K1 0.0000 0.0000 0.0000
Rb1 0.6667 0.3333 0.5000
Sb1 0.3333 0.6667 0.0000
Cl1 0.0618 0.3916 0.2167
```

Results
**Magnetic moment**: 0.69 μB per cell
**Final energy**: -3.22 eV/atom
**Formation energy from raw total energies**: -1.297 eV per atom
**DOS at the Fermi energy**: 0.57 states/eV per atom


An optimized crystal structure of Rb3Bi2F9, computed with PBE.

The structure in CIF format:
```
data_Rb3Bi2F9
_symmetry_space_group_name_H-M 'R -3 c'
_symmetry_Int_Tables_number 167
_symmetry_space_group_name_Hall '-R 3 2"c'
_cell_length_a 11.6829
_cell_length_b 11.6829
_cell_length_c 14.4236
_cell_angle_alpha 90.00
_cell_angle_beta 90.00
_cell_angle_gamma 120.00
loop_
_atom_site_label
_atom_site_fract_x
_atom_site_fract_y
_atom_site_fract_z
Rb1 0.0000 0.3233 0.2500
Bi1 0.0000 0.0000 0.1293
F1 0.0000 0.1353 0.7500
F2 0.0280 0.1939 0.4186
```

Results
**Magnetic moment**: 0.00 μB per cell
**Final energy**: -4.53 eV/atom
**Formation energy from raw total energies**: -2.567 eV per atom
**DOS at the Fermi energy**: 0.00 states/eV per atom


An optimized crystal structure of Sm2Mg3Zn3, computed with PBE.

The structure in CIF format:
```
data_Sm2Mg3Zn3
_symmetry_space_group_name_H-M 'R 3 m'
_symmetry_Int_Tables_number 160
_symmetry_space_group_name_Hall 'R 3 -2"'
_cell_length_a 4.9599
_cell_length_b 4.9599
_cell_length_c 24.3737
_cell_angle_alpha 90.00
_cell_angle_beta 90.00
_cell_angle_gamma 120.00
loop_
_atom_site_label
_atom_site_fract_x
_atom_site_fract_y
_atom_site_fract_z
Sm1 0.0000 0.0000 0.0000
Sm2 0.0000 0.0000 0.4887
Mg1 0.0000 0.0000 0.2478
Mg2 0.0000 0.0000 0.7425
Mg3 0.0000 0.0000 0.8713
Zn1 0.0000 0.0000 0.1244
Zn2 0.0000 0.0000 0.3677
Zn3 0.0000 0.0000 0.6151
```

Results
**Magnetic moment**: 0.00 μB per cell
**Final energy**: -2.53 eV/atom
**DOS at the Fermi energy**: 0.35 states/eV per atom


An optimized crystal structure of Cu3BSe, computed with PBE.

The structure in CIF format:
```
data_Cu3BSe
_symmetry_space_group_name_H-M 'P m -3 m'
_symmetry_Int_Tables_number 221
_symmetry_space_group_name_Hall '-P 4 2 3'
_cell_length_a 4.0729
_cell_length_b 4.0729
_cell_length_c 4.0729
_cell_angle_alpha 90.00
_cell_angle_beta 90.00
_cell_angle_gamma 90.00
loop_
_atom_site_label
_atom_site_fract_x
_atom_site_fract_y
_atom_site_fract_z
Cu1 0.0000 0.0000 0.5000
B1 0.0000 0.0000 0.0000
Se1 0.5000 0.5000 0.5000
```

Results
**Magnetic moment**: 0.00 μB per cell
**Polymorph energy (0 for the lowest one)**: 0 meV/atom
**Final energy**: -4.05 eV/atom
**Formation energy from raw total energies**: 0.445 eV per atom
**DOS at the Fermi energy**: 0.64 states/eV per atom


An optimized crystal structure of Sr8Li2Ir, computed with PBE.

The structure in CIF format:
```
data_Sr8Li2Ir
_symmetry_space_group_name_H-M 'C 1 2/m 1'
_symmetry_Int_Tables_number 12
_cell_length_a 25.2611
_cell_length_b 4.5822
_cell_length_c 8.5635
_cell_angle_alpha 90.00
_cell_angle_beta 90.77
_cell_angle_gamma 90.00
loop_
_symmetry_equiv_pos_as_xyz
'x,y,z'
'-x,-y,-z'
'-x,y,-z'
'x,-y,z'
'x+1/2,y+1/2,z'
'-x+1/2,-y+1/2,-z'
'-x+1/2,y+1/2,-z'
'x+1/2,-y+1/2,z'
loop_
_atom_site_label
_atom_site_fract_x
_atom_site_fract_y
_atom_site_fract_z
Sr1 0.0037 0.0000 0.2220
Sr2 0.1031 0.5000 0.5133
Sr3 0.1148 0.5000 0.9983
Sr4 0.2292 0.0000 0.7230
Li1 0.1666 0.0000 0.2765
Ir1 0.0000 0.5000 0.0000
```

Results
**Magnetic moment**: 0.00 μB per cell
**Final energy**: -2.40 eV/atom
**DOS at the Fermi energy**: 0.81 states/eV per atom


An optimized crystal structure of SrLi2Tl, computed with PBE.

The structure in CIF format:
```
data_SrLi2Tl
_symmetry_space_group_name_H-M 'C 1 m 1'
_symmetry_Int_Tables_number 8
_cell_length_a 8.4283
_cell_length_b 4.8002
_cell_length_c 6.3380
_cell_angle_alpha 90.00
_cell_angle_beta 115.46
_cell_angle_gamma 90.00
loop_
_symmetry_equiv_pos_as_xyz
'x,y,z'
'x,-y,z'
'x+1/2,y+1/2,z'
'x+1/2,-y+1/2,z'
loop_
_atom_site_label
_atom_site_fract_x
_atom_site_fract_y
_atom_site_fract_z
Sr1 0.0000 0.0000 0.0000
Li1 0.0099 0.5000 0.5288
Li2 0.3090 0.5000 0.4223
Tl1 0.2040 0.0000 0.6108
```

Results
**Magnetic moment**: 0.00 μB per cell
**Final energy**: -2.17 eV/atom
**DOS at the Fermi energy**: 0.69 states/eV per atom


An optimized crystal structure of Zn3IrBr, computed with PBE.

The structure in CIF format:
```
data_Zn3IrBr
_symmetry_space_group_name_H-M 'P m -3 m'
_symmetry_Int_Tables_number 221
_symmetry_space_group_name_Hall '-P 4 2 3'
_cell_length_a 4.8850
_cell_length_b 4.8850
_cell_length_c 4.8850
_cell_angle_alpha 90.00
_cell_angle_beta 90.00
_cell_angle_gamma 90.00
loop_
_atom_site_label
_atom_site_fract_x
_atom_site_fract_y
_atom_site_fract_z
Zn1 0.0000 0.0000 0.5000
Ir1 0.0000 0.0000 0.0000
Br1 0.5000 0.5000 0.5000
```

Results
**Magnetic moment**: 0.00 μB per cell
**Polymorph energy (0 for the lowest one)**: 0 meV/atom
**Final energy**: -2.69 eV/atom
**Formation energy from raw total energies**: 0.183 eV per atom
**DOS at the Fermi energy**: 0.48 states/eV per atom


An optimized crystal structure of MoPtRh2, computed with PBE.

The structure in CIF format:
```
data_MoPtRh2
_symmetry_space_group_name_H-M 'R 3 m'
_symmetry_Int_Tables_number 160
_symmetry_space_group_name_Hall 'R 3 -2"'
_cell_length_a 2.7606
_cell_length_b 2.7606
_cell_length_c 27.1877
_cell_angle_alpha 90.00
_cell_angle_beta 90.00
_cell_angle_gamma 120.00
loop_
_atom_site_label
_atom_site_fract_x
_atom_site_fract_y
_atom_site_fract_z
Mo1 0.0000 0.0000 0.0000
Pt1 0.0000 0.0000 0.7509
Rh1 0.0000 0.0000 0.2536
Rh2 0.0000 0.0000 0.5034
```

Results
**Magnetic moment**: 2.59 μB per cell
**Polymorph energy (0 for the lowest one)**: 174 meV/atom
**Final energy**: -7.98 eV/atom
**DOS at the Fermi energy**: 1.45 states/eV per atom


An optimized crystal structure of CrTePt2, computed with PBE.

The structure in CIF format:
```
data_CrTePt2
_symmetry_space_group_name_H-M 'C 1 2/m 1'
_symmetry_Int_Tables_number 12
_cell_length_a 8.8694
_cell_length_b 3.6069
_cell_length_c 4.5501
_cell_angle_alpha 90.00
_cell_angle_beta 104.75
_cell_angle_gamma 90.00
loop_
_symmetry_equiv_pos_as_xyz
'x,y,z'
'-x,-y,-z'
'-x,y,-z'
'x,-y,z'
'x+1/2,y+1/2,z'
'-x+1/2,-y+1/2,-z'
'-x+1/2,y+1/2,-z'
'x+1/2,-y+1/2,z'
loop_
_atom_site_label
_atom_site_fract_x
_atom_site_fract_y
_atom_site_fract_z
Cr1 0.0000 0.0000 0.0000
Te1 0.0000 0.5000 0.5000
Pt1 0.2467 0.5000 0.2334
```

Results
**Magnetic moment**: 6.58 μB per cell
**Final energy**: -6.19 eV/atom
**Formation energy from raw total energies**: 0.024 eV per atom
**DOS at the Fermi energy**: 1.03 states/eV per atom


Question: What is the magnetic moment in the twelfth record?
Answer: 6.58 μB per cell


Question: What is the DOS at the Fermi energy in the fourth record?
Answer: 0.57 states/eV per atom